1.
Crystalline CsTcHg2F6 at its relaxed geometry, computed with PBE.

Cell: 6.3918 6.3918 7.7108 Å, 90.00 90.00 120.00°
Space group P-3m1 (No. 164)
Symmetry-distinct sites (fractional):
Cs1 0.0000 0.0000 0.0000 [1 per cell]
Tc1 0.0000 0.0000 0.5000 [1 per cell]
Hg1 0.3333 0.6667 0.2344 [2 per cell]
F1 0.1400 0.2801 0.6464 [6 per cell]

Calculated values
The value obtained for the electronic total energy is -4.117 eV per atom. For the density of states at the Fermi level, the calculation gives 0.9214 states/eV/atom.


2.
Crystalline Cs2HgTeF at its relaxed geometry, computed with PBE.

Cell: 5.668 5.668 5.950 Å, 90.00 90.00 90.00°
Space group P4/mmm (No. 123)
Symmetry-distinct sites (fractional):
Cs1 0.000 0.500 0.000 [2 per cell]
Hg1 0.000 0.000 0.500 [1 per cell]
Te1 0.500 0.500 0.500 [1 per cell]
F1 0.000 0.000 0.000 [1 per cell]

Calculated values
The value obtained for the distance to the lowest polymorph of the same formula is 127 meV/atom. The value obtained for the electronic total energy is -2.606 eV per atom. For the density of states at the Fermi level, the calculation gives 0.4346 states/eV/atom.


3.
Crystalline Cs2HgTeF at its relaxed geometry, computed with PBE.

Cell: 8.851 4.373 10.717 Å, 90.00 105.33 90.00°
Space group P2_1/m (No. 11)
Symmetry-distinct sites (fractional):
Cs1 0.105 0.250 0.327 [2 per cell]
Cs2 0.233 0.250 0.005 [2 per cell]
Hg1 0.458 0.250 0.590 [2 per cell]
Te1 0.342 0.750 0.724 [2 per cell]
F1 0.100 0.750 0.150 [2 per cell]

Calculated values
The value obtained for the distance to the lowest polymorph of the same formula is 0 meV/atom. The value obtained for the electronic total energy is -2.732 eV per atom. For the density of states at the Fermi level, the calculation gives 0.6029 states/eV/atom.


4.
Crystalline Cs2HgTeF6 at its relaxed geometry, computed with PBE.

Cell: 10.173 10.173 10.173 Å, 90.00 90.00 90.00°
Space group Fm-3m (No. 225)
Symmetry-distinct sites (fractional):
Cs1 0.250 0.250 0.250 [8 per cell]
Hg1 0.000 0.000 0.000 [4 per cell]
Te1 0.000 0.000 0.500 [4 per cell]
F1 0.000 0.000 0.294 [24 per cell]

Calculated values
The value obtained for the electronic total energy is -3.821 eV per atom. For the density of states at the Fermi level, the calculation gives 0.0000 states/eV/atom.


5.
Crystalline Cs3TlHg2F8 at its relaxed geometry, computed with PBE.

Cell: 6.8228 6.8228 8.8300 Å, 90.00 90.00 120.00°
Space group P-3m1 (No. 164)
Symmetry-distinct sites (fractional):
Cs1 0.0000 0.0000 0.0000 [1 per cell]
Cs2 0.3333 0.6667 0.6171 [2 per cell]
Tl1 0.0000 0.0000 0.5000 [1 per cell]
Hg1 0.3333 0.6667 0.1732 [2 per cell]
F1 0.1729 0.3459 0.3096 [6 per cell]
F2 0.3333 0.6667 0.9326 [2 per cell]

Calculated values
The value obtained for the electronic total energy is -3.473 eV per atom. For the density of states at the Fermi level, the calculation gives 0.0000 states/eV/atom.


6.
Crystalline CsTlHgF6 at its relaxed geometry, computed with PBE.

Cell: 6.1869 6.1869 6.1980 Å, 90.00 90.00 120.00°
Space group P312 (No. 149)
Symmetry-distinct sites (fractional):
Cs1 0.0000 0.0000 0.0000 [1 per cell]
Tl1 0.3333 0.6667 0.5000 [1 per cell]
Hg1 0.6667 0.3333 0.5000 [1 per cell]
F1 0.0165 0.3909 0.6968 [6 per cell]

Calculated values
The value obtained for the electronic total energy is -3.598 eV per atom. For the density of states at the Fermi level, the calculation gives 0.0000 states/eV/atom.


7.
Crystalline CsTlHgF4 at its relaxed geometry, computed with PBE.

Cell: 6.703 6.245 8.131 Å, 90.00 104.20 90.00°
Space group P2_1/m (No. 11)
Symmetry-distinct sites (fractional):
Cs1 0.234 0.250 0.043 [2 per cell]
Tl1 0.176 0.250 0.557 [2 per cell]
Hg1 0.355 0.750 0.351 [2 per cell]
F1 0.067 0.511 0.317 [4 per cell]
F2 0.342 0.750 0.086 [2 per cell]
F3 0.453 0.750 0.621 [2 per cell]

Calculated values
The value obtained for the electronic total energy is -3.454 eV per atom. For the density of states at the Fermi level, the calculation gives 0.0000 states/eV/atom.


8.
Crystalline Cs2TlHgF at its relaxed geometry, computed with PBE.

Cell: 5.877 5.877 5.691 Å, 90.00 90.00 90.00°
Space group P4/mmm (No. 123)
Symmetry-distinct sites (fractional):
Cs1 0.000 0.500 0.000 [2 per cell]
Tl1 0.000 0.000 0.500 [1 per cell]
Hg1 0.500 0.500 0.500 [1 per cell]
F1 0.000 0.000 0.000 [1 per cell]

Calculated values
The value obtained for the electronic total energy is -2.204 eV per atom. For the density of states at the Fermi level, the calculation gives 0.8000 states/eV/atom.